{"formula": "Cs3Na2NpBr8", "functional": "PBE", "state": "optimized geometry", "m_tot_mub_per_fu": 4.000, "density_g_cm3": 3.59, "spacegroup": "No. 164", "dos_at_fermi_per_ev_cell": 5.7, "e_tot_ev_per_cell": -53.224, "lattice": [[8.083, 0.000, 0.000], [-4.041, 7.000, 0.000], [0.000, 0.000, 10.809]], "species": ["Cs", "Cs", "Cs", "Na", "Na", "Np", "Br", "Br", "Br", "Br", "Br", "Br", "Br", "Br"], "fractional_positions": [[0.000, 0.000, 0.000], [0.333, 0.667, 0.622], [0.667, 0.333, 0.378], [0.333, 0.667, 0.184], [0.667, 0.333, 0.816], [0.000, 0.000, 0.500], [0.164, 0.327, 0.338], [0.164, 0.836, 0.338], [0.327, 0.164, 0.662], [0.333, 0.667, 0.936], [0.667, 0.333, 0.064], [0.673, 0.836, 0.338], [0.836, 0.164, 0.662], [0.836, 0.673, 0.662]]}

{"formula": "Ta2Co3Si", "functional": "PBE", "state": "optimized geometry", "m_tot_mub_per_fu": 0.000, "density_g_cm3": 12.25, "spacegroup": "No. 194", "dos_at_fermi_per_ev_cell": 10.6, "e_tot_ev_per_cell": -106.875, "lattice": [[4.846, 0.000, 0.000], [-2.423, 4.197, 0.000], [0.000, 0.000, 7.554]], "species": ["Ta", "Ta", "Ta", "Ta", "Co", "Co", "Co", "Co", "Co", "Co", "Si", "Si"], "fractional_positions": [[0.333, 0.667, 0.059], [0.333, 0.667, 0.441], [0.667, 0.333, 0.559], [0.667, 0.333, 0.941], [0.169, 0.339, 0.750], [0.169, 0.831, 0.750], [0.339, 0.169, 0.250], [0.661, 0.831, 0.750], [0.831, 0.169, 0.250], [0.831, 0.661, 0.250], [0.000, 0.000, 0.000], [0.000, 0.000, 0.500]]}

{"formula": "VPS2N", "functional": "PBE", "state": "optimized geometry", "m_tot_mub_per_fu": 0.748, "density_g_cm3": 3.82, "spacegroup": "No. 123", "dos_at_fermi_per_ev_cell": 5.4, "e_tot_ev_per_cell": -28.210, "lattice": [[4.626, 0.000, 0.000], [0.000, 4.626, 0.000], [0.000, 0.000, 3.248]], "species": ["V", "P", "S", "S", "N"], "fractional_positions": [[0.000, 0.000, 0.000], [0.500, 0.500, 0.500], [0.000, 0.500, 0.500], [0.500, 0.000, 0.500], [0.500, 0.500, 0.000]]}

{"formula": "KSrMg2Rh", "functional": "PBE", "state": "optimized geometry", "m_tot_mub_per_fu": 0.000, "density_g_cm3": 2.91, "spacegroup": "No. 123", "ef_ev_per_atom": -0.10, "dos_at_fermi_per_ev_cell": 2.4, "e_tot_ev_per_cell": -13.844, "lattice": [[5.292, 0.000, 0.000], [0.000, 5.292, 0.000], [0.000, 0.000, 5.677]], "species": ["K", "Sr", "Mg", "Mg", "Rh"], "fractional_positions": [[0.000, 0.000, 0.000], [0.500, 0.500, 0.000], [0.000, 0.500, 0.500], [0.500, 0.000, 0.500], [0.500, 0.500, 0.500]]}

{"formula": "HfMgTlRe2", "functional": "PBE", "state": "optimized geometry", "m_tot_mub_per_fu": 1.444, "density_g_cm3": 11.15, "spacegroup": "No. 123", "ef_ev_per_atom": 2.04, "dos_at_fermi_per_ev_cell": 4.2, "e_tot_ev_per_cell": -28.610, "lattice": [[5.014, 0.000, 0.000], [0.000, 5.014, 0.000], [0.000, 0.000, 4.619]], "species": ["Hf", "Mg", "Tl", "Re", "Re"], "fractional_positions": [[0.000, 0.000, 0.000], [0.500, 0.500, 0.000], [0.500, 0.500, 0.500], [0.000, 0.500, 0.500], [0.500, 0.000, 0.500]]}

{"formula": "ScAl3Cu", "functional": "PBE", "state": "optimized geometry", "m_tot_mub_per_fu": 0.000, "density_g_cm3": 2.25, "spacegroup": "No. 221", "ef_ev_per_atom": 1.25, "dos_at_fermi_per_ev_cell": 6.4, "e_tot_ev_per_cell": -15.415, "lattice": [[5.189, 0.000, 0.000], [0.000, 5.189, 0.000], [0.000, 0.000, 5.189]], "species": ["Sc", "Al", "Al", "Al", "Cu"], "fractional_positions": [[0.000, 0.000, 0.000], [0.000, 0.000, 0.500], [0.000, 0.500, 0.000], [0.500, 0.000, 0.000], [0.500, 0.500, 0.500]]}

{"formula": "Rb2LiGa3Sn4", "functional": "PBE", "state": "optimized geometry", "m_tot_mub_per_fu": 0.000, "density_g_cm3": 5.07, "spacegroup": "No. 115", "ef_ev_per_atom": -0.16, "dos_at_fermi_per_ev_cell": 3.9, "e_tot_ev_per_cell": -30.561, "lattice": [[4.902, 0.000, 0.000], [0.000, 4.902, 0.000], [0.000, 0.000, 11.753]], "species": ["Rb", "Rb", "Li", "Ga", "Ga", "Ga", "Sn", "Sn", "Sn", "Sn"], "fractional_positions": [[0.000, 0.500, 0.245], [0.500, 0.000, 0.755], [0.500, 0.500, 0.000], [0.000, 0.000, 0.000], [0.000, 0.500, 0.636], [0.500, 0.000, 0.364], [0.000, 0.000, 0.500], [0.000, 0.500, 0.873], [0.500, 0.000, 0.127], [0.500, 0.500, 0.500]]}

{"formula": "Rb3Sn2", "functional": "PBE", "state": "optimized geometry", "m_tot_mub_per_fu": 0.001, "density_g_cm3": 3.41, "spacegroup": "No. 43", "ef_ev_per_atom": -0.12, "dos_at_fermi_per_ev_cell": 7.5, "e_tot_ev_per_cell": -23.014, "lattice": [[0.000, 14.190, 2.384], [7.101, 0.000, 2.384], [7.101, 14.190, 0.000]], "species": ["Rb", "Rb", "Rb", "Rb", "Rb", "Rb", "Sn", "Sn", "Sn", "Sn"], "fractional_positions": [[0.000, 0.000, 0.000], [0.009, 0.507, 0.702], [0.250, 0.250, 0.250], [0.468, 0.548, 0.743], [0.507, 0.009, 0.782], [0.548, 0.468, 0.241], [0.278, 0.762, 0.670], [0.580, 0.960, 0.972], [0.762, 0.278, 0.290], [0.960, 0.580, 0.488]]}